Record 1
The following is a DFT calculation (PBE) of an optimized crystal structure of NaCoH3.

Values from the calculation:
crystal system = monoclinic
total magnetic moment = 0.000 μB per atom
total energy = -37.549 eV/cell
space-group type = No. 10

Lattice parameters (Å, degrees): 5.5016 4.7488 3.3293 90.00 90.00 115.49
Closest atoms and distances in Å follow each position.
Fractional coordinates of all 10 atoms:
H1 0.9512 0.9522 0.0437  2 Co 1.67
H2 0.6826 0.5930 0.5437  2 Co 1.66
H3 0.6816 0.0410 0.5437  2 Co 1.66
H4 0.1822 0.3170 0.5437  2 Co 1.70
H5 0.4131 0.6817 0.0437  2 Co 1.67
H6 0.1822 0.8170 0.5437  2 Co 1.70
Co1 0.4267 0.6890 0.5437  6 H 1.66-1.70
Co2 0.9376 0.9451 0.5437  6 H 1.66-1.70
Na1 0.4092 0.1800 0.0438  11 H 2.27-2.52
Na2 0.9552 0.4542 0.0438  11 H 2.27-2.52

---

Record 2
The following is a DFT calculation (PBE) of an optimized crystal structure of NaCo3H.

Values from the calculation:
crystal system = cubic
total magnetic moment = 0.902 μB per atom
total energy = -23.213 eV/cell
energy above the most stable polymorph in this dataset = 0 meV per atom
space-group type = No. 221

Lattice parameters (Å, degrees): 3.7677 3.7677 3.7677 90.00 90.00 90.00
Closest atoms and distances in Å follow each position.
Fractional coordinates of all 5 atoms:
Co1 0.5000 0.0000 0.0000  2 H 1.88
Co2 0.0000 0.0000 0.5000  2 H 1.88
Co3 0.0000 0.5000 0.0000  2 H 1.88
H1 0.0000 0.0000 0.0000  6 Co 1.88
Na1 0.5000 0.5000 0.5000  12 Co 2.66

---

Record 3
The following is a DFT calculation (PBE) of an optimized crystal structure of NaCoH3.

Values from the calculation:
crystal system = tetragonal
total magnetic moment = 0.348 μB per atom
total energy = -32.369 eV/cell
space-group type = No. 119

Lattice parameters (Å, degrees): 3.7200 3.7200 8.7352 77.71 77.71 90.00
Closest atoms and distances in Å follow each position.
Fractional coordinates of all 10 atoms:
H1 0.3227 0.3227 0.3546  2 Co 1.86
H2 0.2983 0.9051 0.1898  1 H 0.79
H3 0.6773 0.6773 0.6454  2 Co 1.86
H4 0.5119 0.9051 0.1898  1 H 0.79
H5 0.0949 0.7017 0.8102  1 H 0.79
H6 0.0949 0.4881 0.8102  1 H 0.79
Na1 0.0000 0.0000 0.0000  4 H 2.15
Na2 0.2500 0.7500 0.5000  4 H 2.22
Co1 0.8157 0.3157 0.3686  2 H 1.86
Co2 0.6843 0.1843 0.6314  2 H 1.86

---

Record 4
The following is a DFT calculation (PBE) of an optimized crystal structure of NaCoH3.

Values from the calculation:
crystal system = monoclinic
total magnetic moment = 0.100 μB per atom
total energy = -74.773 eV/cell
space-group type = No. 15

Lattice parameters (Å, degrees): 8.7001 6.4007 6.4007 69.05 117.48 62.52
Closest atoms and distances in Å follow each position.
Fractional coordinates of all 20 atoms:
H1 0.9074 0.5980 0.5770  3 Co 1.67-1.76
H2 0.3524 0.3991 0.4208  1 Co 1.55
H3 0.1476 0.9208 0.8991  1 Co 1.55
H4 0.6838 0.9327 0.9012  2 Co 1.60-1.67
H5 0.5926 0.0770 0.0980  3 Co 1.67-1.76
H6 0.1838 0.5988 0.5673  2 Co 1.60-1.67
H7 0.6476 0.6009 0.5792  1 Co 1.55
H8 0.3162 0.0673 0.0988  2 Co 1.60-1.67
H9 0.4074 0.9230 0.9020  3 Co 1.67-1.76
H10 0.0926 0.4020 0.4230  3 Co 1.67-1.76
H11 0.8162 0.4012 0.4327  2 Co 1.60-1.67
H12 0.8524 0.0792 0.1009  1 Co 1.55
Na1 0.7500 0.5146 0.0146  6 H 2.20-2.39
Na2 0.7500 0.1599 0.6599  6 H 2.20-2.29
Na3 0.2500 0.4854 0.9854  6 H 2.20-2.39
Na4 0.2500 0.8401 0.3401  6 H 2.20-2.29
Co1 0.8911 0.7903 0.2774  5 H 1.55-1.71
Co2 0.1089 0.2097 0.7226  5 H 1.55-1.71
Co3 0.3911 0.2226 0.7097  5 H 1.55-1.71
Co4 0.6089 0.7774 0.2903  5 H 1.55-1.71

---

- What is the total energy in the third record?
  -32.369 eV/cell